1 | Density functional theory data (PBE) for crystalline Er2PuTc at its relaxed geometry.

Calculated values
The total magnetic moment comes out at 7.09 μB/f.u.

```
data_Er2PuTc
_chemical_formula_sum 'Er2 Pu1 Tc1'
_cell_length_a 3.4068
_cell_length_b 3.4068
_cell_length_c 8.5808
_cell_angle_alpha 90.00
_cell_angle_beta 90.00
_cell_angle_gamma 90.00
_symmetry_space_group_name_H-M 'P 4/m m m'
_symmetry_Int_Tables_number 123
_symmetry_space_group_name_Hall '-P 4 2'
loop_
_atom_site_label
_atom_site_type_symbol
_atom_site_fract_x
_atom_site_fract_y
_atom_site_fract_z
Er1 Er 0.0000 0.0000 0.1911
Pu1 Pu 0.5000 0.5000 0.5000
Tc1 Tc 0.5000 0.5000 0.0000
```

***

2 | Density functional theory data (PBE) for crystalline Er2PuTc at its relaxed geometry.

Calculated values
The total magnetic moment comes out at 5.16 μB/f.u.

```
data_Er2PuTc
_chemical_formula_sum 'Er8 Pu4 Tc4'
_cell_length_a 7.1311
_cell_length_b 9.3400
_cell_length_c 6.2033
_cell_angle_alpha 90.00
_cell_angle_beta 90.00
_cell_angle_gamma 90.00
_symmetry_space_group_name_H-M 'P n m a'
_symmetry_Int_Tables_number 62
_symmetry_space_group_name_Hall '-P 2ac 2n'
loop_
_atom_site_label
_atom_site_type_symbol
_atom_site_fract_x
_atom_site_fract_y
_atom_site_fract_z
Er1 Er 0.1766 0.0648 0.1698
Pu1 Pu 0.0453 0.2500 0.6499
Tc1 Tc 0.1342 0.7500 0.0016
```

***

It is 1 that is the least stable of them.